Entry 1:
A relaxed structure of Cs2GaAuI6. Source: the Alexandria database, functional PBEsol.

extended XYZ file:
```
10
Lattice="0.000 5.725 5.725 5.725 0.000 5.725 5.725 5.725 0.000" Properties=species:S:1:pos:R:3 pbc="T T T"
Cs 2.862 2.862 2.862
Cs 8.587 8.587 8.587
Ga 0.000 0.000 0.000
Au 5.725 5.725 5.725
I 5.725 5.725 2.853
I 5.725 2.853 5.725
I 8.597 5.725 5.725
I 2.853 5.725 5.725
I 5.725 8.597 5.725
I 5.725 5.725 8.597
```

Magnetic moment: 0.00 μB/f.u.
Calculated total energy: -27.4 eV per cell
Fermi-level density of states: 2.86 states/eV/cell

***

Entry 2:
A relaxed structure of TeRh3C. Source: the Alexandria database, functional PBEsol.

extended XYZ file:
```
5
Lattice="4.128 0.000 0.000 0.000 4.128 0.000 0.000 0.000 4.128" Properties=species:S:1:pos:R:3 pbc="T T T"
Te 0.000 0.000 0.000
Rh 0.000 2.064 2.064
Rh 2.064 0.000 2.064
Rh 2.064 2.064 0.000
C 2.064 2.064 2.064
```

Magnetic moment: 0.00 μB/f.u.
Calculated total energy: -36.5 eV per cell
Fermi-level density of states: 6.89 states/eV/cell

***

Entry 3:
A relaxed structure of FeReB2Se. Source: the Alexandria database, functional PBEsol.

extended XYZ file:
```
5
Lattice="3.771 0.000 0.000 0.000 3.771 0.000 0.000 0.000 4.581" Properties=species:S:1:pos:R:3 pbc="T T T"
Fe 0.000 0.000 0.000
Re 0.000 0.000 2.291
B 0.000 1.885 0.000
B 1.885 0.000 0.000
Se 1.885 1.885 2.291
```

Magnetic moment: 0.00 μB/f.u.
Calculated total energy: -34.6 eV per cell
Fermi-level density of states: 3.89 states/eV/cell

***

Entry 4:
A relaxed structure of NiHgPt2. Source: the Alexandria database, functional PBEsol.

extended XYZ file:
```
8
Lattice="9.023 0.000 0.000 0.000 2.813 0.000 -0.927 0.000 4.776" Properties=species:S:1:pos:R:3 pbc="T T T"
Ni 0.000 0.000 0.000
Ni 4.512 1.406 0.000
Hg 2.000 1.406 1.245
Hg 6.511 0.000 1.245
Pt -0.430 1.406 2.553
Pt 1.623 0.000 3.710
Pt 4.081 0.000 2.553
Pt 6.134 1.406 3.710
```

Magnetic moment: 0.63 μB/f.u.
Formation enthalpy at 0 K: 0.3 eV/f.u.
Calculated total energy: -40.6 eV per cell
Fermi-level density of states: 10.21 states/eV/cell

***

Entry 5:
A relaxed structure of Tl3Br. Source: the Alexandria database, functional PBEsol.

extended XYZ file:
```
4
Lattice="4.201 0.000 0.000 0.000 4.201 0.000 0.000 0.000 6.674" Properties=species:S:1:pos:R:3 pbc="T T T"
Tl 0.000 0.000 0.000
Tl 2.100 2.100 1.722
Tl 2.100 2.100 4.952
Br 0.000 0.000 3.337
```

Magnetic moment: 0.00 μB/f.u.
Calculated total energy: -10.8 eV per cell
Fermi-level density of states: 1.51 states/eV/cell
Offset from the most stable computed form: 28 meV/atom

***

Entry 6:
A relaxed structure of Rh3Au. Source: the Alexandria database, functional PBEsol.

extended XYZ file:
```
4
Lattice="2.733 0.000 0.000 0.000 4.462 0.000 0.000 0.000 4.715" Properties=species:S:1:pos:R:3 pbc="T T T"
Rh 0.000 0.000 0.000
Rh 0.000 2.231 1.526
Rh 1.367 2.231 3.981
Au 1.367 0.000 2.365
```

Magnetic moment: 0.00 μB/f.u.
Formation enthalpy at 0 K: 0.8 eV/f.u.
Calculated total energy: -27.5 eV per cell
Fermi-level density of states: 7.37 states/eV/cell